No. 1
This record from Alexandria describes a geometry-optimized AsSe structure. The functional is GGA-PBE.

Unit cell a=4.142 b=4.142 c=3.756 alpha=90.00 beta=90.00 gamma=127.19
Sites, in units of the cell vectors:
As1 0.000 0.000 0.000
Se1 0.500 0.500 0.500

## Properties
Density (g/cm³): 4.98
Raw formation energy (eV/atom): 0.336
Space-group type: Cmmm (65)

---

No. 2
This record from Alexandria describes a geometry-optimized As5Se4 structure. The functional is GGA-PBE.

Unit cell a=8.015 b=8.015 c=6.799 alpha=90.00 beta=90.00 gamma=120.00
Sites, in units of the cell vectors:
As1 0.000 0.738 0.250
As2 0.262 0.262 0.250
As3 0.738 0.000 0.250
As4 0.000 0.262 0.750
As5 0.738 0.738 0.750
As6 0.262 0.000 0.750
As7 0.667 0.333 0.000
As8 0.333 0.667 0.500
As9 0.333 0.667 0.000
As10 0.667 0.333 0.500
Se1 0.000 0.000 0.000
Se2 0.000 0.000 0.500
Se3 0.000 0.391 0.250
Se4 0.609 0.609 0.250
Se5 0.391 0.000 0.250
Se6 0.000 0.609 0.750
Se7 0.391 0.391 0.750
Se8 0.609 0.000 0.750

## Properties
Density (g/cm³): 6.06
Raw formation energy (eV/atom): 0.395
Space-group type: P6_3/mcm (193)

---

No. 3
This record from Alexandria describes a geometry-optimized As3Se structure. The functional is GGA-PBE.

Unit cell a=4.796 b=4.796 c=4.796 alpha=109.52 beta=109.52 gamma=109.52
Sites, in units of the cell vectors:
As1 0.000 0.000 0.000
As2 0.000 0.500 0.500
As3 0.500 0.000 0.500
Se1 0.500 0.500 0.000

## Properties
Density (g/cm³): 5.95
Raw formation energy (eV/atom): 0.125
Space-group type: R-3m (166)
Polymorph energy (0 for the lowest one) (meV/atom): 45

---

No. 4
This record from Alexandria describes a geometry-optimized As3Se structure. The functional is GGA-PBE.

Unit cell a=3.382 b=3.382 c=6.782 alpha=90.00 beta=90.00 gamma=90.00
Sites, in units of the cell vectors:
As1 0.500 0.500 0.734
As2 0.000 0.000 0.500
As3 0.500 0.500 0.266
Se1 0.000 0.000 0.000

## Properties
Density (g/cm³): 6.50
Raw formation energy (eV/atom): 0.406
Space-group type: P4/mmm (123)
Polymorph energy (0 for the lowest one) (meV/atom): 325

---

No. 5
This record from Alexandria describes a geometry-optimized As5Se structure. The functional is GGA-PBE.

Unit cell a=5.975 b=5.975 c=8.166 alpha=50.67 beta=50.67 gamma=38.63
Sites, in units of the cell vectors:
As1 0.010 0.010 0.022
As2 0.672 0.672 0.686
As3 0.334 0.334 0.359
As4 0.894 0.894 0.679
As5 0.540 0.540 0.387
Se1 0.217 0.217 0.034

## Properties
Density (g/cm³): 5.58
Raw formation energy (eV/atom): 0.110
Space-group type: Cm (8)
Polymorph energy (0 for the lowest one) (meV/atom): 21

---

No. 6
This record from Alexandria describes a geometry-optimized As3Se structure. The functional is GGA-PBE.

Unit cell a=7.452 b=7.452 c=7.452 alpha=151.21 beta=151.21 gamma=41.16
Sites, in units of the cell vectors:
As1 0.250 0.750 0.500
As2 0.500 0.500 0.000
As3 0.750 0.250 0.500
Se1 0.000 0.000 0.000

## Properties
Density (g/cm³): 5.27
Raw formation energy (eV/atom): 0.440
Space-group type: I4/mmm (139)
Polymorph energy (0 for the lowest one) (meV/atom): 360

---

No. 7
This record from Alexandria describes a geometry-optimized AsSe structure. The functional is GGA-PBE.

Unit cell a=4.195 b=8.288 c=3.931 alpha=76.28 beta=62.06 gamma=68.56
Sites, in units of the cell vectors:
As1 0.993 0.901 0.053
As2 0.924 0.682 0.697
Se1 0.555 0.515 0.465
Se2 0.361 0.068 0.285

## Properties
Density (g/cm³): 4.56
Raw formation energy (eV/atom): 0.055
Space-group type: C2/m (12)

---

No. 8
This record from Alexandria describes a geometry-optimized AsSe structure. The functional is GGA-PBE.

Unit cell a=8.168 b=19.571 c=7.367 alpha=90.00 beta=90.00 gamma=90.00
Sites, in units of the cell vectors:
As1 0.000 0.413 0.000
As2 0.000 0.587 0.000
As3 0.250 0.337 0.250
As4 0.250 0.163 0.250
As5 0.000 0.913 0.500
As6 0.000 0.087 0.500
As7 0.250 0.837 0.750
As8 0.250 0.663 0.750
As9 0.500 0.413 0.500
As10 0.500 0.587 0.500
As11 0.750 0.337 0.750
As12 0.750 0.163 0.750
As13 0.500 0.913 0.000
As14 0.500 0.087 0.000
As15 0.750 0.837 0.250
As16 0.750 0.663 0.250
Se1 0.000 0.000 0.271
Se2 0.000 0.000 0.729
Se3 0.250 0.750 0.979
Se4 0.250 0.750 0.521
Se5 0.000 0.500 0.771
Se6 0.000 0.500 0.229
Se7 0.250 0.250 0.479
Se8 0.250 0.250 0.021
Se9 0.500 0.000 0.771
Se10 0.500 0.000 0.229
Se11 0.750 0.750 0.479
Se12 0.750 0.750 0.021
Se13 0.500 0.500 0.271
Se14 0.500 0.500 0.729
Se15 0.750 0.250 0.979
Se16 0.750 0.250 0.521

## Properties
Density (g/cm³): 3.47
Raw formation energy (eV/atom): 0.149
Space-group type: Fddd (70)